Material: Hf4Sb2P
Method: DFT, PBE
State: optimized geometry

Unit cell a=4.6847 b=4.6847 c=15.0094 alpha=90.00 beta=90.00 gamma=90.00
Fractional coordinates of all 14 atoms:
Hf1 0.0000 0.0000 0.1666
Hf2 0.0000 0.0000 0.8334
Hf3 0.0000 0.5000 0.0000
Hf4 0.0000 0.5000 0.5000
Hf5 0.5000 0.0000 0.0000
Hf6 0.5000 0.0000 0.5000
Hf7 0.5000 0.5000 0.3334
Hf8 0.5000 0.5000 0.6666
Sb1 0.0000 0.0000 0.3583
Sb2 0.0000 0.0000 0.6417
Sb3 0.5000 0.5000 0.1417
Sb4 0.5000 0.5000 0.8583
P1 0.0000 0.0000 0.0000
P2 0.5000 0.5000 0.5000

E_tot	-110.038	eV/cell
theoretical density	9.97	Mg/m³